# 1
Here is a geometry-optimized EuNbO2 structure from the Alexandria database. Energies are from GGA-PBE.

a b c (Å): 3.3256 3.3256 16.5488
angles (deg): 90.00 90.00 120.00
Closest atoms and distances in Å follow each position.
Space group R-3m (No. 166, hexagonal axes)
Inequivalent atoms, fractional coordinates:
Eu (0.0000, 0.0000, 0.0000) (multiplicity 3)  6 O 2.47
Nb (0.0000, 0.0000, 0.5000) (multiplicity 3)  6 O 2.27
O (0.0000, 0.0000, 0.2398) (multiplicity 6)  3 Nb 2.27, 3 Eu 2.47

Computed properties:
polymorph energy (0 for the lowest one): 0.00 eV per formula unit
total magnetic moment: 19.79 μB per cell

---

# 2
Here is a geometry-optimized Eu2Nb4O13 structure from the Alexandria database. Energies are from GGA-PBE.

a b c (Å): 5.4697 6.0475 10.7880
angles (deg): 96.69 92.61 116.85
Closest atoms and distances in Å follow each position.
Space group P1 (No. 1)
Inequivalent atoms, fractional coordinates:
Eu (0.0000, 0.0000, 0.0000) (multiplicity 1)  6 O 2.31-2.45
Eu (0.2526, 0.5462, 0.7504) (multiplicity 1)  5 O 2.28-2.46
Nb (0.2640, 0.6517, 0.1214) (multiplicity 1)  5 O 1.94-2.10
Nb (0.6181, 0.3666, 0.5433) (multiplicity 1)  4 O 1.84-2.02
Nb (0.6595, 0.2598, 0.1848) (multiplicity 1)  6 O 1.98-2.11
Nb (0.9131, 0.9437, 0.6775) (multiplicity 1)  6 O 1.96-2.14
O (0.0009, 0.6690, 0.6214) (multiplicity 1)  2 Nb 1.97-2.11
O (0.0364, 0.5346, 0.2568) (multiplicity 1)  2 Nb 1.95-2.02
O (0.1718, 0.1702, 0.8208) (multiplicity 1)  1 Nb 1.96
O (0.1961, 0.7110, 0.9535) (multiplicity 1)  1 Nb 1.94
O (0.2502, 0.9738, 0.1732) (multiplicity 1)  2 Nb 2.00-2.11
O (0.2636, 0.1641, 0.5869) (multiplicity 1)  1 Nb 1.89
O (0.4465, 0.4231, 0.1152) (multiplicity 1)  2 Nb 2.01-2.04
O (0.5431, 0.6563, 0.5772) (multiplicity 1)  2 Nb 1.97-2.12
O (0.6167, 0.2900, 0.3727) (multiplicity 1)  2 Nb 1.84-2.05
O (0.6741, 0.9343, 0.1558) (multiplicity 1)  2 Nb 2.00-2.10
O (0.7080, 0.7959, 0.8167) (multiplicity 1)  1 Nb 1.97
O (0.7918, 0.1923, 0.6358) (multiplicity 1)  2 Nb 1.98-2.02
O (0.8803, 0.3199, 0.0402) (multiplicity 1)  2 Nb 1.98-2.19

Computed properties:
total magnetic moment: 0.30 μB per cell

---

Total DFT energy (no corrections), respectively: -114.71 -173.46 eV for the cell shown.
Formation energy (no corrections), respectively: -1.99 -2.54 eV per atom.